PrFeP2Ru | PBE-GGA | relaxed Values from VASP.

Results
ΔH_f (0 K) (eV per atom): -0.9476
Space group: I-4m2 (119)

```
&SYSTEM
  ibrav = 0, nat = 5, ntyp = 4
/
ATOMIC_SPECIES
Pr 140.91 Pr.upf
Fe 55.84 Fe.upf
P 30.97 P.upf
Ru 101.07 Ru.upf
ATOMIC_POSITIONS crystal
Pr 0.000 0.000 0.000
Fe 0.750 0.250 0.500
P 0.358 0.358 0.000
P 0.642 0.642 0.000
Ru 0.250 0.750 0.500
CELL_PARAMETERS angstrom
-1.972 1.972 5.294
1.972 -1.972 5.294
1.972 1.972 -5.294
```


FePPt2 | PBE-GGA | relaxed Values from VASP.

Results
ΔH_f (0 K) (eV per atom): 0.3624
Space group: I-42d (122)

```
&SYSTEM
  ibrav = 0, nat = 8, ntyp = 3
/
ATOMIC_SPECIES
Fe 55.84 Fe.upf
P 30.97 P.upf
Pt 195.08 Pt.upf
ATOMIC_POSITIONS crystal
Fe 0.000 0.000 0.000
Fe 0.750 0.250 0.500
P 0.250 0.750 0.500
P 0.500 0.500 0.000
Pt 0.140 0.625 0.015
Pt 0.375 0.390 0.515
Pt 0.610 0.125 0.985
Pt 0.875 0.860 0.485
CELL_PARAMETERS angstrom
-2.483 2.483 6.083
2.483 -2.483 6.083
2.483 2.483 -6.083
```


FePPt2 | PBE-GGA | relaxed Values from VASP.

Results
ΔH_f (0 K) (eV per atom): -0.0512
Space group: C2/m (12)

```
&SYSTEM
  ibrav = 0, nat = 4, ntyp = 3
/
ATOMIC_SPECIES
Fe 55.84 Fe.upf
P 30.97 P.upf
Pt 195.08 Pt.upf
ATOMIC_POSITIONS crystal
Fe 0.000 0.000 0.000
P 0.500 0.500 0.500
Pt 0.282 0.282 0.248
Pt 0.718 0.718 0.752
CELL_PARAMETERS angstrom
4.726 -1.396 0.000
4.726 1.396 0.000
-0.042 0.000 4.483
```


FePPt | PBE-GGA | relaxed Values from VASP.

Results
ΔH_f (0 K) (eV per atom): -0.0664
Space group: P3m1 (156)

```
&SYSTEM
  ibrav = 0, nat = 3, ntyp = 3
/
ATOMIC_SPECIES
Fe 55.84 Fe.upf
P 30.97 P.upf
Pt 195.08 Pt.upf
ATOMIC_POSITIONS crystal
Fe 0.000 0.000 0.000
P 0.667 0.333 0.268
Pt 0.333 0.667 0.621
CELL_PARAMETERS angstrom
2.840 0.000 0.000
-1.420 2.460 0.000
0.000 0.000 5.706
```


FeP2Pt | PBE-GGA | relaxed Values from VASP.

Results
ΔH_f (0 K) (eV per atom): -0.1741
Energy above the lowest structure with this stoichiometry (eV/atom): 0.1810
Space group: Imm2 (44)

```
&SYSTEM
  ibrav = 0, nat = 4, ntyp = 3
/
ATOMIC_SPECIES
Fe 55.84 Fe.upf
P 30.97 P.upf
Pt 195.08 Pt.upf
ATOMIC_POSITIONS crystal
Fe 0.000 0.000 0.000
P 0.560 0.560 0.000
P 0.841 0.341 0.500
Pt 0.218 0.718 0.500
CELL_PARAMETERS angstrom
-1.350 1.730 5.838
1.350 -1.730 5.838
1.350 1.730 -5.838
```


FePPt2 | PBE-GGA | relaxed Values from VASP.

Results
ΔH_f (0 K) (eV per atom): -0.0028
Space group: Cmmm (65)

```
&SYSTEM
  ibrav = 0, nat = 4, ntyp = 3
/
ATOMIC_SPECIES
Fe 55.84 Fe.upf
P 30.97 P.upf
Pt 195.08 Pt.upf
ATOMIC_POSITIONS crystal
Fe 0.000 0.000 0.000
P 0.500 0.500 0.000
Pt 0.000 0.500 0.500
Pt 0.500 0.000 0.500
CELL_PARAMETERS angstrom
2.722 -3.760 0.000
2.722 3.760 0.000
0.000 0.000 2.831
```


Record order is preserved below.
Uncorrected energy: -7.62; -6.13; -6.54; -6.70; -6.50; -6.49 eV/atom